1.
The following is a PBEsol calculation of a geometry-optimized Cd2IrCl structure, from Alexandria via LeMat-Bulk.

CIF file:
```
data_Cd2IrCl
_cell_length_a 2.864
_cell_length_b 4.204
_cell_length_c 12.831
_cell_angle_alpha 90.00
_cell_angle_beta 90.00
_cell_angle_gamma 90.00
_space_group_name_H-M_alt 'I m m m'
_space_group_IT_number 71
_space_group_name_Hall '-I 2 2'
loop_
_atom_site_label
_atom_site_fract_x
_atom_site_fract_y
_atom_site_fract_z
_atom_site_occupancy
Cd1 0.000 0.000 0.189 1
Ir1 0.000 0.500 0.500 1
Cl1 0.000 0.500 0.000 1
```

The value obtained for the distance to the lowest polymorph of the same formula is 0.0000 eV per atom.

=====

2.
The following is a PBEsol calculation of a geometry-optimized Ba4Sm2Cu2O9 structure, from Alexandria via LeMat-Bulk.

CIF file:
```
data_Ba4Sm2Cu2O9
_cell_length_a 11.863
_cell_length_b 11.863
_cell_length_c 3.836
_cell_angle_alpha 90.00
_cell_angle_beta 90.00
_cell_angle_gamma 90.00
_space_group_name_H-M_alt 'P -4 n 2'
_space_group_IT_number 118
_space_group_name_Hall 'P -4 -2n'
loop_
_atom_site_label
_atom_site_fract_x
_atom_site_fract_y
_atom_site_fract_z
_atom_site_occupancy
Ba1 0.113 0.172 0.257 1
Sm1 0.110 0.610 0.250 1
Cu1 0.097 0.403 0.750 1
O1 0.000 0.000 0.500 1
O2 0.025 0.708 0.751 1
O3 0.092 0.408 0.250 1
O4 0.243 0.743 0.250 1
```

The value obtained for the final energy is -6.805 eV per atom.

=====

3.
The following is a PBEsol calculation of a geometry-optimized Li2Mn3NiO8 structure, from Alexandria via LeMat-Bulk.

CIF file:
```
data_Li2Mn3NiO8
_cell_length_a 5.6909
_cell_length_b 5.6909
_cell_length_c 14.2201
_cell_angle_alpha 90.00
_cell_angle_beta 90.00
_cell_angle_gamma 120.00
_space_group_name_H-M_alt 'R -3 m'
_space_group_IT_number 166
_space_group_name_Hall '-R 3 2"'
loop_
_atom_site_label
_atom_site_fract_x
_atom_site_fract_y
_atom_site_fract_z
_atom_site_occupancy
Li1 0.0000 0.0000 0.1225 1
Mn1 0.0000 0.5000 0.0000 1
Ni1 0.0000 0.0000 0.5000 1
O1 0.0000 0.0000 0.2626 1
O2 0.0288 0.5144 0.2596 1
```

The value obtained for the distance to the lowest polymorph of the same formula is 0.0145 eV per atom.